Run i
Here is a relaxed structure of Cs2KPtI6 from the Alexandria database. Energies are from GGA-PBE.

Output
SG	I4/mmm
calculated density	4.52	g/cm3

Cell: 8.693 8.693 8.680 Å, 59.95 59.95 90.00°
Atoms (fractional coordinates):
I1 0.775 0.775 0.000
Cs1 0.250 0.750 0.500
Pt1 0.000 0.000 0.000
Cs2 0.750 0.250 0.500
I2 0.225 0.225 0.000
K1 0.500 0.500 0.000
I3 0.776 0.776 0.449
I4 0.775 0.225 0.000
I5 0.224 0.224 0.551
I6 0.225 0.775 0.000

=====

Run ii
Here is a relaxed structure of Cs2KPtI6 from the Alexandria database. Energies are from GGA-PBE.

Output
SG	R-3m
calculated density	4.29	g/cm3

Cell: 8.217 8.217 17.356 Å, 76.31 76.31 60.00°
Atoms (fractional coordinates):
I1 0.809 0.286 0.097
I2 0.191 0.714 0.903
I3 0.854 0.370 0.405
I4 0.146 0.630 0.595
I5 0.630 0.630 0.595
Cs1 0.864 0.864 0.408
I6 0.370 0.370 0.405
Pt1 0.000 0.000 0.000
I7 0.370 0.854 0.405
I8 0.286 0.809 0.097
K1 0.416 0.416 0.751
I9 0.630 0.146 0.595
Pt2 0.500 0.500 0.500
K2 0.584 0.584 0.249
Cs2 0.305 0.305 0.084
I10 0.714 0.191 0.903
Cs3 0.136 0.136 0.592
Cs4 0.695 0.695 0.916
I11 0.191 0.191 0.903
I12 0.809 0.809 0.097

=====

Least stable of them? run i.